A.
Below is a geometry-optimized Cd3BiPb structure, with properties calculated at the PBE level.

Geometry as POSCAR:
```
Cd3BiPb
1.0
5.718 0.000 0.000
0.000 5.718 0.000
0.000 0.000 5.718
Cd Bi Pb
3 1 1
direct
0.000 0.000 0.500 Cd
0.000 0.500 0.000 Cd
0.500 0.000 0.000 Cd
0.000 0.000 0.000 Bi
0.500 0.500 0.500 Pb
```

Results
Crystal system = cubic
Total magnetic moment = 0.0 μB per formula unit
Theoretical density = 6.69 g cm⁻³


B.
Below is a geometry-optimized Cd3BiPb structure, with properties calculated at the PBE level.

Geometry as POSCAR:
```
Cd3BiPb
1.0
4.385 0.000 0.000
0.000 4.385 0.000
0.000 0.000 14.765
Cd Bi Pb
6 2 2
direct
0.000 0.000 0.000 Cd
0.000 0.500 0.365 Cd
0.000 0.500 0.865 Cd
0.500 0.000 0.365 Cd
0.500 0.000 0.865 Cd
0.500 0.500 0.500 Cd
0.000 0.000 0.206 Bi
0.500 0.500 0.706 Bi
0.000 0.000 0.594 Pb
0.500 0.500 0.094 Pb
```

Results
Crystal system = tetragonal
Total magnetic moment = 0.0 μB per formula unit
Theoretical density = 8.81 g cm⁻³


C.
Below is a geometry-optimized Cd3BiPb structure, with properties calculated at the PBE level.

Geometry as POSCAR:
```
Cd3BiPb
1.0
5.539 0.000 0.000
0.000 4.768 0.000
-1.266 0.000 10.414
Cd Bi Pb
6 2 2
direct
0.069 0.250 0.431 Cd
0.201 0.750 0.989 Cd
0.399 0.750 0.419 Cd
0.601 0.250 0.581 Cd
0.799 0.250 0.011 Cd
0.931 0.750 0.569 Cd
0.339 0.250 0.181 Bi
0.661 0.750 0.819 Bi
0.191 0.250 0.769 Pb
0.809 0.750 0.231 Pb
```

Results
Crystal system = monoclinic
Total magnetic moment = 0.0 μB per formula unit
Theoretical density = 9.10 g cm⁻³


Tell me which of them is the most stable. Sure, it is C.


A.
Below is a geometry-optimized CdBiPb3 structure, with properties calculated at the PBE level.

Geometry as POSCAR:
```
CdBiPb3
1.0
5.646 0.000 0.000
0.000 5.646 0.000
0.000 0.000 5.646
Cd Bi Pb
1 1 3
direct
0.000 0.000 0.000 Cd
0.500 0.500 0.500 Bi
0.000 0.000 0.500 Pb
0.000 0.500 0.000 Pb
0.500 0.000 0.000 Pb
```

Results
Crystal system = cubic
Total magnetic moment = 0.0 μB per formula unit
Theoretical density = 8.70 g cm⁻³


B.
Below is a geometry-optimized CdBiPb3 structure, with properties calculated at the PBE level.

Geometry as POSCAR:
```
CdBiPb3
1.0
6.158 0.000 0.000
-2.060 6.909 0.000
-0.681 -2.064 7.155
Cd Bi Pb
2 2 6
direct
0.088 0.450 0.187 Cd
0.912 0.550 0.813 Cd
0.279 0.353 0.589 Bi
0.721 0.647 0.411 Bi
0.102 0.940 0.192 Pb
0.299 0.830 0.596 Pb
0.490 0.260 0.990 Pb
0.510 0.740 0.010 Pb
0.701 0.170 0.404 Pb
0.898 0.060 0.808 Pb
```

Results
Crystal system = triclinic
Total magnetic moment = 0.0 μB per formula unit
Theoretical density = 10.29 g cm⁻³


Tell me which of them is the most stable. Sure, it is B.


A.
Below is a geometry-optimized CdBi2Pb5 structure, with properties calculated at the PBE level.

Geometry as POSCAR:
```
CdBi2Pb5
1.0
8.268 0.000 0.000
0.000 16.885 0.000
0.000 0.000 3.534
Cd Bi Pb
2 4 10
direct
0.000 0.000 0.000 Cd
0.500 0.500 0.000 Cd
0.225 0.121 0.500 Bi
0.275 0.621 0.500 Bi
0.725 0.379 0.500 Bi
0.775 0.879 0.500 Bi
0.000 0.500 0.000 Pb
0.001 0.264 0.000 Pb
0.226 0.879 0.500 Pb
0.274 0.379 0.500 Pb
0.499 0.764 0.000 Pb
0.500 0.000 0.000 Pb
0.501 0.236 0.000 Pb
0.726 0.621 0.500 Pb
0.774 0.121 0.500 Pb
0.999 0.736 0.000 Pb
```

Results
Crystal system = orthorhombic
Total magnetic moment = 0.0 μB per formula unit
Theoretical density = 10.54 g cm⁻³


B.
Below is a geometry-optimized CdBi2Pb5 structure, with properties calculated at the PBE level.

Geometry as POSCAR:
```
CdBi2Pb5
1.0
2.927 -6.287 0.000
2.927 6.287 0.000
0.000 0.000 13.721
Cd Bi Pb
2 4 10
direct
0.183 0.817 0.750 Cd
0.817 0.183 0.250 Cd
0.335 0.665 0.128 Bi
0.335 0.665 0.372 Bi
0.665 0.335 0.628 Bi
0.665 0.335 0.872 Bi
0.075 0.925 0.250 Pb
0.130 0.870 0.516 Pb
0.130 0.870 0.984 Pb
0.403 0.597 0.622 Pb
0.403 0.597 0.878 Pb
0.597 0.403 0.122 Pb
0.597 0.403 0.378 Pb
0.870 0.130 0.016 Pb
0.870 0.130 0.484 Pb
0.925 0.075 0.750 Pb
```

Results
Crystal system = orthorhombic
Total magnetic moment = 0.0 μB per formula unit
Theoretical density = 10.30 g cm⁻³


Tell me which of them is the most stable. Sure, it is A.


A.
Below is a geometry-optimized CdBiPdPb structure, with properties calculated at the PBE level.

Geometry as POSCAR:
```
CdBiPdPb
1.0
7.302 0.000 0.000
0.000 7.302 0.000
0.000 0.000 7.302
Cd Bi Pd Pb
4 4 4 4
direct
0.000 0.000 0.000 Cd
0.000 0.500 0.500 Cd
0.500 0.000 0.500 Cd
0.500 0.500 0.000 Cd
0.250 0.250 0.750 Bi
0.250 0.750 0.250 Bi
0.750 0.250 0.250 Bi
0.750 0.750 0.750 Bi
0.000 0.000 0.500 Pd
0.000 0.500 0.000 Pd
0.500 0.000 0.000 Pd
0.500 0.500 0.500 Pd
0.250 0.250 0.250 Pb
0.250 0.750 0.750 Pb
0.750 0.250 0.750 Pb
0.750 0.750 0.250 Pb
```

Results
Crystal system = cubic
Total magnetic moment = 0.0 μB per formula unit
Theoretical density = 10.83 g cm⁻³


B.
Below is a geometry-optimized CdBiPdPb structure, with properties calculated at the PBE level.

Geometry as POSCAR:
```
CdBiPdPb
1.0
4.641 0.000 0.000
-2.320 4.019 0.000
0.000 0.000 17.006
Cd Bi Pd Pb
3 3 3 3
direct
0.000 0.000 0.000 Cd
0.333 0.667 0.667 Cd
0.667 0.333 0.333 Cd
0.000 0.000 0.782 Bi
0.333 0.667 0.449 Bi
0.667 0.333 0.115 Bi
0.000 0.000 0.389 Pd
0.333 0.667 0.056 Pd
0.667 0.333 0.723 Pd
0.000 0.000 0.572 Pb
0.333 0.667 0.239 Pb
0.667 0.333 0.906 Pb
```

Results
Crystal system = trigonal
Total magnetic moment = 0.0 μB per formula unit
Theoretical density = 9.97 g cm⁻³


Tell me which of them is the most stable. Sure, it is B.


A.
Below is a geometry-optimized PuCdBiPb structure, with properties calculated at the PBE level.

Geometry as POSCAR:
```
PuCdBiPb
1.0
4.500 0.000 0.000
0.000 4.827 0.000
0.000 0.000 5.063
Pu Cd Bi Pb
1 1 1 1
direct
0.000 0.000 0.000 Pu
0.000 0.500 0.500 Cd
0.500 0.500 0.000 Bi
0.500 0.000 0.500 Pb
```

Results
Crystal system = orthorhombic
Total magnetic moment = 5.5 μB per formula unit
Theoretical density = 11.67 g cm⁻³


B.
Below is a geometry-optimized PuCdBiPb structure, with properties calculated at the PBE level.

Geometry as POSCAR:
```
PuCdBiPb
1.0
7.779 0.000 0.000
0.000 7.779 0.000
0.000 0.000 7.779
Pu Cd Bi Pb
4 4 4 4
direct
0.000 0.000 0.000 Pu
0.000 0.500 0.500 Pu
0.500 0.000 0.500 Pu
0.500 0.500 0.000 Pu
0.250 0.250 0.750 Cd
0.250 0.750 0.250 Cd
0.750 0.250 0.250 Cd
0.750 0.750 0.750 Cd
0.250 0.250 0.250 Bi
0.250 0.750 0.750 Bi
0.750 0.250 0.750 Bi
0.750 0.750 0.250 Bi
0.000 0.000 0.500 Pb
0.000 0.500 0.000 Pb
0.500 0.000 0.000 Pb
0.500 0.500 0.500 Pb
```

Results
Crystal system = cubic
Total magnetic moment = 5.9 μB per formula unit
Theoretical density = 10.90 g cm⁻³


Tell me which of them is the most stable. Sure, it is A.


A.
Below is a geometry-optimized Cd2BiPd2 structure, with properties calculated at the PBE level.

Geometry as POSCAR:
```
Cd2BiPd2
1.0
7.871 0.000 0.000
0.000 7.871 0.000
0.000 0.000 3.283
Cd Bi Pd
4 2 4
direct
0.152 0.348 0.000 Cd
0.348 0.848 0.000 Cd
0.652 0.152 0.000 Cd
0.848 0.652 0.000 Cd
0.000 0.000 0.500 Bi
0.500 0.500 0.500 Bi
0.141 0.641 0.500 Pd
0.359 0.141 0.500 Pd
0.641 0.859 0.500 Pd
0.859 0.359 0.500 Pd
```

Results
Crystal system = tetragonal
Total magnetic moment = 0.0 μB per formula unit
Theoretical density = 10.56 g cm⁻³


B.
Below is a geometry-optimized Cd2BiPd2 structure, with properties calculated at the PBE level.

Geometry as POSCAR:
```
Cd2BiPd2
1.0
8.092 0.000 0.000
0.000 8.092 0.000
0.000 0.000 3.117
Cd Bi Pd
4 2 4
direct
0.128 0.372 0.000 Cd
0.372 0.872 0.000 Cd
0.628 0.128 0.000 Cd
0.872 0.628 0.000 Cd
0.000 0.000 0.000 Bi
0.500 0.500 0.000 Bi
0.167 0.667 0.500 Pd
0.333 0.167 0.500 Pd
0.667 0.833 0.500 Pd
0.833 0.333 0.500 Pd
```

Results
Crystal system = tetragonal
Total magnetic moment = 0.0 μB per formula unit
Theoretical density = 10.52 g cm⁻³


Tell me which of them is the most stable. Sure, it is A.


A.
Below is a geometry-optimized CdBi3Pd3 structure, with properties calculated at the PBE level.

Geometry as POSCAR:
```
CdBi3Pd3
1.0
4.280 -5.274 0.000
4.280 5.274 0.000
-0.266 0.000 7.188
Cd Bi Pd
2 6 6
direct
0.250 0.250 0.161 Cd
0.750 0.750 0.839 Cd
0.085 0.085 0.701 Bi
0.266 0.734 0.000 Bi
0.342 0.658 0.500 Bi
0.658 0.342 0.500 Bi
0.734 0.266 0.000 Bi
0.915 0.915 0.299 Bi
0.007 0.480 0.716 Pd
0.414 0.414 0.818 Pd
0.480 0.007 0.716 Pd
0.520 0.993 0.284 Pd
0.586 0.586 0.182 Pd
0.993 0.520 0.284 Pd
```

Results
Crystal system = monoclinic
Total magnetic moment = 0.0 μB per formula unit
Theoretical density = 10.83 g cm⁻³


B.
Below is a geometry-optimized CdBi3Pd3 structure, with properties calculated at the PBE level.

Geometry as POSCAR:
```
CdBi3Pd3
1.0
4.144 2.393 5.629
-4.144 2.393 5.629
0.000 -4.785 5.629
Cd Bi Pd
2 6 6
direct
0.158 0.158 0.158 Cd
0.842 0.842 0.842 Cd
0.137 0.677 0.389 Bi
0.323 0.611 0.863 Bi
0.389 0.137 0.677 Bi
0.611 0.863 0.323 Bi
0.677 0.389 0.137 Bi
0.863 0.323 0.611 Bi
0.043 0.448 0.814 Pd
0.186 0.957 0.552 Pd
0.448 0.814 0.043 Pd
0.552 0.186 0.957 Pd
0.814 0.043 0.448 Pd
0.957 0.552 0.186 Pd
```

Results
Crystal system = trigonal
Total magnetic moment = 0.0 μB per formula unit
Theoretical density = 10.50 g cm⁻³


Tell me which of them is the most stable. Sure, it is B.


A.
Below is a geometry-optimized CdBiPd5 structure, with properties calculated at the PBE level.

Geometry as POSCAR:
```
CdBiPd5
1.0
4.085 0.000 0.000
0.000 4.085 0.000
0.000 0.000 7.704
Cd Bi Pd
1 1 5
direct
0.000 0.000 0.000 Cd
0.500 0.500 0.500 Bi
0.000 0.500 0.258 Pd
0.000 0.500 0.742 Pd
0.500 0.000 0.258 Pd
0.500 0.000 0.742 Pd
0.500 0.500 0.000 Pd
```

Results
Crystal system = tetragonal
Total magnetic moment = 0.0 μB per formula unit
Theoretical density = 11.03 g cm⁻³


B.
Below is a geometry-optimized CdBiPd5 structure, with properties calculated at the PBE level.

Geometry as POSCAR:
```
CdBiPd5
1.0
5.772 0.000 0.000
0.000 7.732 0.000
0.000 0.000 5.840
Cd Bi Pd
2 2 10
direct
0.000 0.000 0.000 Cd
0.500 0.500 0.000 Cd
0.000 0.500 0.500 Bi
0.500 0.000 0.500 Bi
0.000 0.500 0.000 Pd
0.250 0.250 0.251 Pd
0.250 0.250 0.749 Pd
0.250 0.750 0.251 Pd
0.250 0.750 0.749 Pd
0.500 0.000 0.000 Pd
0.750 0.250 0.251 Pd
0.750 0.250 0.749 Pd
0.750 0.750 0.251 Pd
0.750 0.750 0.749 Pd
```

Results
Crystal system = orthorhombic
Total magnetic moment = 0.0 μB per formula unit
Theoretical density = 10.87 g cm⁻³


Tell me which of them is the most stable. Sure, it is A.